1.
## MnNb3Ag (meta-GGA SCAN)

Data for a PBEsol-optimized structure of MnNb3Ag.

The structure in POSCAR format:
```
MnNb3Ag
1.0
4.8544 0.0000 0.0000
0.0000 4.8544 0.0000
0.0000 0.0000 4.8544
Mn Nb Ag
1 3 1
Direct
0.0000 0.0000 0.0000
0.0000 0.5000 0.5000
0.5000 0.0000 0.5000
0.5000 0.5000 0.0000
0.5000 0.5000 0.5000
```

Computed properties:
E_form (eV per atom): 1.779

=====

2.
## MnNiAg2 (meta-GGA SCAN)

Data for a PBEsol-optimized structure of MnNiAg2.

The structure in POSCAR format:
```
MnNiAg2
1.0
0.0000 3.0667 3.0667
3.0667 0.0000 3.0667
3.0667 3.0667 0.0000
Mn Ni Ag
1 1 2
Direct
0.0000 0.0000 0.0000
0.5000 0.5000 0.5000
0.2500 0.2500 0.2500
0.7500 0.7500 0.7500
```

Computed properties:
E_form (eV per atom): 0.133

=====

3.
## MnNi2Ag (meta-GGA SCAN)

Data for a PBEsol-optimized structure of MnNi2Ag.

The structure in POSCAR format:
```
MnNi2Ag
1.0
4.3827 0.0000 0.0000
0.0000 2.7109 0.0000
-1.4653 0.0000 4.2730
Mn Ni Ag
1 2 1
Direct
0.0000 0.0000 0.0000
0.5000 0.0000 0.5000
0.5000 0.5000 0.0000
0.0000 0.5000 0.5000
```

Computed properties:
E_form (eV per atom): 0.078

=====

4.
## Mn2NiAg2 (meta-GGA SCAN)

Data for a PBEsol-optimized structure of Mn2NiAg2.

The structure in POSCAR format:
```
Mn2NiAg2
1.0
-1.5149 1.5149 7.5157
1.5149 -1.5149 7.5157
1.5149 1.5149 -7.5157
Mn Ni Ag
2 1 2
Direct
0.2500 0.7500 0.5000
0.7500 0.2500 0.5000
0.0000 0.0000 0.0000
0.4000 0.4000 0.0000
0.6000 0.6000 0.0000
```

Computed properties:
E_form (eV per atom): 0.769

=====

5.
## MnTlNi2Ag (meta-GGA SCAN)

Data for a PBEsol-optimized structure of MnTlNi2Ag.

The structure in POSCAR format:
```
MnTlNi2Ag
1.0
4.6284 0.0000 0.0000
0.0000 4.6284 0.0000
0.0000 0.0000 4.9729
Mn Tl Ni Ag
1 1 2 1
Direct
0.0000 0.0000 0.0000
0.5000 0.5000 0.0000
0.0000 0.5000 0.5000
0.5000 0.0000 0.5000
0.5000 0.5000 0.5000
```

Computed properties:
E_form (eV per atom): 1.198

=====

6.
## MnNiAgW2 (meta-GGA SCAN)

Data for a PBEsol-optimized structure of MnNiAgW2.

The structure in POSCAR format:
```
MnNiAgW2
1.0
4.7267 0.0000 0.0000
0.0000 4.7267 0.0000
0.0000 0.0000 4.5276
Mn Ni Ag W
1 1 1 2
Direct
0.0000 0.0000 0.0000
0.5000 0.5000 0.0000
0.0000 0.0000 0.5000
0.0000 0.5000 0.5000
0.5000 0.0000 0.5000
```

Computed properties:
Distance to the lowest polymorph of the same formula (eV/f.u.): 4.55
E_form (eV per atom): 2.709

=====

7.
## MnNiAgW2 (meta-GGA SCAN)

Data for a PBEsol-optimized structure of MnNiAgW2.

The structure in POSCAR format:
```
MnNiAgW2
1.0
4.3233 0.0000 0.0000
0.0000 4.3233 0.0000
0.0000 0.0000 4.6421
Mn Ni Ag W
1 1 1 2
Direct
0.0000 0.0000 0.0000
0.5000 0.5000 0.5000
0.0000 0.0000 0.5000
0.0000 0.5000 0.0000
0.5000 0.0000 0.0000
```

Computed properties:
Distance to the lowest polymorph of the same formula (eV/f.u.): 0.00
E_form (eV per atom): 1.800

=====

8.
## Mn3AgO (meta-GGA SCAN)

Data for a PBEsol-optimized structure of Mn3AgO.

The structure in POSCAR format:
```
Mn3AgO
1.0
4.7705 0.0000 0.0000
0.0000 4.7705 0.0000
0.0000 0.0000 4.7705
Mn Ag O
3 1 1
Direct
0.0000 0.0000 0.5000
0.0000 0.5000 0.0000
0.5000 0.0000 0.0000
0.0000 0.0000 0.0000
0.5000 0.5000 0.5000
```

Computed properties:
Uncorrected formation energy (kJ/mol of atoms): 96.2

=====

no.,total magnetization (μB/atom),calculated total energy (eV per cell)
1,0.525,-140.12
2,1.150,-96.63
3,1.312,-81.66
4,0.149,-111.57
5,1.304,-148.34
6,0.479,-191.63
7,0.000,-196.17
8,2.726,-87.38